Record 1
{
  "formula": "Ac4Al3CrO12",
  "functional": "PBE with a Hubbard U",
  "state": "optimized geometry",
  "lattice_angstrom": [[-4.061, -2.451, -4.832], [5.371, -4.062, 0.709], [-3.388, 0.305, 5.855]],
  "species": ["Ac", "O", "Ac", "Al", "O", "Ac", "O", "O", "O", "Al", "O", "Al", "O", "Ac", "O", "O", "O", "O", "Cr", "O"],
  "frac_coords": [[0.500, 0.500, 0.500], [0.744, 0.744, 0.000], [0.000, 0.000, 0.500], [0.500, 0.500, 0.000], [0.750, 0.500, 0.250], [0.000, 0.500, 0.000], [0.256, 0.000, 0.256], [0.250, 0.750, 0.500], [0.500, 0.250, 0.750], [0.000, 0.500, 0.500], [0.000, 0.256, 0.256], [0.500, 0.000, 0.500], [0.744, 0.000, 0.744], [0.500, 0.000, 0.000], [0.750, 0.250, 0.500], [0.500, 0.750, 0.250], [0.256, 0.256, 0.000], [0.250, 0.500, 0.750], [0.000, 0.000, 0.000], [0.000, 0.744, 0.744]],
  "crystal_system": "cubic",
  "dos_at_fermi_per_ev_cell": 0.00,
  "final_energy_ev_per_atom": -7.877
}

***

Record 2
{
  "formula": "AcAl2CrO6",
  "functional": "PBE with a Hubbard U",
  "state": "optimized geometry",
  "lattice_angstrom": [[-1.314, 1.415, 5.201], [-3.694, -5.029, 4.881], [4.820, -1.563, 6.090]],
  "species": ["O", "O", "O", "Cr", "Al", "O", "Al", "Al", "Ac", "Al", "O", "O", "O", "O", "O", "O", "O", "Ac", "O", "Cr"],
  "frac_coords": [[0.072, 0.628, 0.103], [0.258, 0.335, 0.370], [0.915, 0.022, 0.186], [0.750, 0.913, 0.087], [0.376, 0.811, 0.618], [0.428, 0.897, 0.372], [0.624, 0.189, 0.382], [0.876, 0.618, 0.811], [0.750, 0.314, 0.686], [0.124, 0.382, 0.189], [0.242, 0.630, 0.665], [0.742, 0.665, 0.630], [0.572, 0.103, 0.628], [0.758, 0.370, 0.335], [0.928, 0.372, 0.897], [0.415, 0.186, 0.022], [0.085, 0.978, 0.814], [0.250, 0.686, 0.314], [0.585, 0.814, 0.978], [0.250, 0.087, 0.913]],
  "crystal_system": "monoclinic",
  "dos_at_fermi_per_ev_cell": 0.00,
  "final_energy_ev_per_atom": -7.764
}